# Hf2TeW | the Alexandria database | PBE-GGA | relaxed
data_Hf2TeW
_chemical_formula_sum 'Hf8 Te4 W4'
_cell_length_a 4.233
_cell_length_b 4.233
_cell_length_c 19.727
_cell_angle_alpha 90.00
_cell_angle_beta 90.00
_cell_angle_gamma 90.00
_symmetry_space_group_name_H-M 'I -4 2 d'
_symmetry_Int_Tables_number 122
_symmetry_space_group_name_Hall 'I -4 2bw'
loop_
_atom_site_label
_atom_site_type_symbol
_atom_site_fract_x
_atom_site_fract_y
_atom_site_fract_z
Hf1 Hf 0.248 0.250 0.125
Te1 Te 0.000 0.000 0.500
W1 W 0.000 0.000 0.000
# energy	-0.6145	Ry per atom
# volume	22.09	A^3/atom